## Rb2VZn3F12 (PBE with a Hubbard U)

Data for an optimized crystal structure of Rb2VZn3F12.

Calculated values
* M_tot: 3.00 μB per cell
* V: 16.41 A^3/atom
* final energy: -4.5455 eV/atom

The structure in CIF format:
```
data_Rb2VZn3F12
_cell_length_a 7.3466
_cell_length_b 7.3466
_cell_length_c 18.9588
_cell_angle_alpha 90.00
_cell_angle_beta 90.00
_cell_angle_gamma 120.00
_symmetry_space_group_name_H-M 'R -3 m'
_symmetry_Int_Tables_number 166
_symmetry_space_group_name_Hall '-R 3 2"'
loop_
_atom_site_label
_atom_site_fract_x
_atom_site_fract_y
_atom_site_fract_z
_atom_site_occupancy
Rb1 0.0000 0.0000 0.1051 1
V1 0.0000 0.0000 0.5000 1
Zn1 0.0000 0.5000 0.0000 1
F1 0.0659 0.5329 0.3590 1
F2 0.0865 0.5433 0.1121 1
```